No. 1
La2Sm2DyHo | PBE | optimized geometry

a b c (Å): 5.7391 7.1130 9.9456
angles (deg): 90.00 90.00 90.00
Closest atoms and distances in Å follow each position.
Positions (direct):
La 0.0000 0.7577 0.8230  5 Sm 3.26-3.56
Sm 0.0000 0.7575 0.1656  2 Dy 3.37, 7 La 3.41-3.76
Ho 0.0000 0.5076 0.5001  2 Ho 3.56, 2 La 3.67, 4 Dy 3.72, 6 Sm 3.76-3.77
Dy 0.5000 0.2575 0.6576  5 Sm 3.23-3.56
Sm 0.5000 0.7577 0.6673  3 Dy 3.23-3.56, 2 La 3.26
La 0.5000 0.0076 0.0001  6 La 3.56-3.81, 6 Sm 3.76, 2 Dy 3.84
La 0.5000 0.5076 0.9999  6 La 3.56-3.81, 6 Sm 3.76, 2 Dy 3.84
La 0.0000 0.2577 0.1770  5 Sm 3.26-3.56
Dy 0.5000 0.7575 0.3424  5 Sm 3.23-3.56
Sm 0.5000 0.2577 0.3327  3 Dy 3.23-3.56, 2 La 3.26
Ho 0.0000 0.0076 0.4999  2 Ho 3.56, 2 La 3.67, 4 Dy 3.72, 6 Sm 3.76-3.77
Sm 0.0000 0.2575 0.8344  2 Dy 3.37, 7 La 3.41-3.76

formation energy from the elements: 58 meV per atom
total DFT energy (no corrections): -56.24 eV/cell
space group: Pmma, No. 51
D(E_F): 18.8 states/eV per cell

---

No. 2
Mn2Si2Ru | PBE | optimized geometry

a b c (Å): 6.8961 6.8961 2.6133
angles (deg): 90.00 90.00 90.00
Closest atoms and distances in Å follow each position.
Positions (direct):
Ru 0.0000 0.0000 0.0000  2 Ru 2.61, 4 Mn 2.74, 8 Si 2.85
Si 0.8216 0.3216 0.5000  6 Mn 2.35-2.47, 2 Si 2.61
Ru 0.5000 0.5000 0.0000  2 Ru 2.61, 4 Mn 2.74, 8 Si 2.85
Mn 0.1208 0.3792 0.0000  6 Si 2.35-2.47, 3 Mn 2.36-2.61
Si 0.3216 0.1784 0.5000  6 Mn 2.35-2.47, 2 Si 2.61
Mn 0.6208 0.1208 0.0000  6 Si 2.35-2.47, 3 Mn 2.36-2.61
Mn 0.3792 0.8792 0.0000  6 Si 2.35-2.47, 3 Mn 2.36-2.61
Si 0.6784 0.8216 0.5000  6 Mn 2.35-2.47, 2 Si 2.61
Mn 0.8792 0.6208 0.0000  6 Si 2.35-2.47, 3 Mn 2.36-2.61
Si 0.1784 0.6784 0.5000  6 Mn 2.35-2.47, 2 Si 2.61

total DFT energy (no corrections): -77.36 eV/cell
space group: P4/mbm, No. 127
D(E_F): 10.0 states/eV per cell

---

No. 3
NbBrF2 | PBE | optimized geometry

a b c (Å): 4.3299 4.3299 4.3299
angles (deg): 60.00 60.00 60.00
Closest atoms and distances in Å follow each position.
Positions (direct):
Nb 0.5000 0.5000 0.5000  8 F 2.65
F 0.2500 0.2500 0.2500  4 Nb 2.65, 4 Br 2.65
Br 0.0000 0.0000 0.0000  8 F 2.65
F 0.7500 0.7500 0.7500  4 Nb 2.65, 4 Br 2.65

ΔE to the lowest computed polymorph: 0.661 eV/atom
total DFT energy (no corrections): -18.89 eV/cell
space group: Fm-3m, No. 225
D(E_F): 2.0 states/eV per cell

---

No. 4
MnCd2PbS | PBE | optimized geometry

a b c (Å): 5.6901 5.3411 5.6901
angles (deg): 90.00 90.00 90.00
Closest atoms and distances in Å follow each position.
Positions (direct):
Cd 0.5000 0.0000 0.0000  2 Pb 2.85
S 0.0000 0.5000 0.0000  2 Pb 2.67
Mn 0.5000 0.5000 0.5000  8 Cd 3.90, 4 S 4.02
Cd 0.0000 0.0000 0.5000  2 Pb 2.85
Pb 0.0000 0.0000 0.0000  2 S 2.67, 4 Cd 2.85

total DFT energy (no corrections): -14.74 eV/cell
space group: P4/mmm, No. 123
D(E_F): 2.1 states/eV per cell

---

No. 5
OsRuRh2 | PBE | optimized geometry

a b c (Å): 5.4981 5.4981 6.7611
angles (deg): 66.01 66.01 90.00
Closest atoms and distances in Å follow each position.
Positions (direct):
Rh 0.3750 0.3748 0.7500  2 Os 2.38, 2 Ru 2.39
Os 0.0000 0.0000 0.0000  4 Rh 2.38
Rh 0.1248 0.6250 0.2500  2 Os 2.38, 2 Ru 2.39
Os 0.7500 0.2500 0.5000  4 Rh 2.38
Rh 0.6252 0.1250 0.2500  2 Os 2.38, 2 Ru 2.39
Rh 0.8750 0.8752 0.7500  2 Os 2.38, 2 Ru 2.39
Ru 0.5000 0.5000 0.0000  4 Rh 2.39
Ru 0.2500 0.7500 0.5000  4 Rh 2.39

formation energy from the elements: 1211 meV per atom
ΔE to the lowest computed polymorph: 1.163 eV/atom
total DFT energy (no corrections): -60.73 eV/cell
space group: I-42d, No. 122
D(E_F): 4.1 states/eV per cell

---

No. 6
ErNiH3 | PBE | optimized geometry

a b c (Å): 6.9962 6.1292 5.1636
angles (deg): 90.00 90.00 124.73
Closest atoms and distances in Å follow each position.
Positions (direct):
Ni 0.8594 0.2198 0.2507  5 H 1.60-1.75
H 0.9818 0.4622 0.7527  1 Ni 1.60
Ni 0.3594 0.2198 0.2493  5 H 1.60-1.75
H 0.8785 0.7563 0.7500  2 Ni 1.75
Ni 0.6406 0.7802 0.7507  5 H 1.60-1.75
H 0.5182 0.5378 0.2527  1 Ni 1.60
H 0.2499 0.9999 0.4995  2 Ni 1.70
H 0.2501 0.0001 0.9995  2 Ni 1.70
H 0.6215 0.2437 0.2500  2 Ni 1.75
Er 0.1266 0.2513 0.7500  2 H 2.05
Er 0.8734 0.7487 0.2500  2 H 2.05
Ni 0.1406 0.7802 0.7493  5 H 1.60-1.75
H 0.3785 0.7563 0.7500  2 Ni 1.75
H 0.0182 0.5378 0.2473  1 Ni 1.60
H 0.1215 0.2437 0.2500  2 Ni 1.75
Er 0.6266 0.2513 0.7500  2 H 2.05
H 0.4818 0.4622 0.7473  1 Ni 1.60
H 0.7499 0.9999 0.0005  2 Ni 1.70
Er 0.3734 0.7487 0.2500  2 H 2.05
H 0.7501 0.0001 0.5005  2 Ni 1.70

total DFT energy (no corrections): -89.65 eV/cell
space group: P2_1/c, No. 14
D(E_F): 4.7 states/eV per cell